Entry 1:
DFT (GGA-PBE) results for an optimized crystal structure of CsTl5In2.

Computed properties:
- offset from the most stable computed form (meV per atom) = 46
- calculated volume (Å³ per atom) = 36.71

```
data_CsTl5In2
_chemical_formula_sum 'Cs4 Tl20 In8'
_symmetry_space_group_name_H-M 'I 4/m c m'
_symmetry_Int_Tables_number 140
_symmetry_space_group_name_Hall '-I 4 2c'
_cell_length_a 8.642
_cell_length_b 8.642
_cell_length_c 15.727
_cell_angle_alpha 90.00
_cell_angle_beta 90.00
_cell_angle_gamma 90.00
loop_
_atom_site_label
_atom_site_type_symbol
_atom_site_fract_x
_atom_site_fract_y
_atom_site_fract_z
Cs1 Cs 0.000 0.000 0.250
Tl1 Tl 0.000 0.000 0.000
Tl2 Tl 0.135 0.365 0.128
In1 In 0.163 0.337 0.500
```


Entry 2:
DFT (GGA-PBE) results for an optimized crystal structure of Cs2Tl12In5.

Computed properties:
- calculated volume (Å³ per atom) = 33.55
- calculated total energy (eV/atom) = -2.339

```
data_Cs2Tl12In5
_chemical_formula_sum 'Cs6 Tl36 In15'
_symmetry_space_group_name_H-M 'R -3 m'
_symmetry_Int_Tables_number 166
_symmetry_space_group_name_Hall '-R 3 2"'
_cell_length_a 11.4343
_cell_length_b 11.4343
_cell_length_c 16.8905
_cell_angle_alpha 90.00
_cell_angle_beta 90.00
_cell_angle_gamma 120.00
loop_
_atom_site_label
_atom_site_type_symbol
_atom_site_fract_x
_atom_site_fract_y
_atom_site_fract_z
Cs1 Cs 0.0000 0.0000 0.1584
Tl1 Tl 0.0000 0.2913 0.5000
Tl2 Tl 0.0086 0.5043 0.3498
In1 In 0.0000 0.0000 0.4054
In2 In 0.0000 0.5000 0.0000
```


Entry 3:
DFT (GGA-PBE) results for an optimized crystal structure of CsTl2In2.

Computed properties:
- offset from the most stable computed form (meV per atom) = 73
- calculated volume (Å³ per atom) = 34.43

```
data_CsTl2In2
_chemical_formula_sum 'Cs2 Tl4 In4'
_symmetry_space_group_name_H-M 'P 4/m b m'
_symmetry_Int_Tables_number 127
_symmetry_space_group_name_Hall '-P 4 2ab'
_cell_length_a 9.765
_cell_length_b 9.765
_cell_length_c 3.610
_cell_angle_alpha 90.00
_cell_angle_beta 90.00
_cell_angle_gamma 90.00
loop_
_atom_site_label
_atom_site_type_symbol
_atom_site_fract_x
_atom_site_fract_y
_atom_site_fract_z
Cs1 Cs 0.000 0.000 0.000
Tl1 Tl 0.161 0.339 0.500
In1 In 0.125 0.625 0.000
```


Entry 4:
DFT (GGA-PBE) results for an optimized crystal structure of CsTl2In.

Computed properties:
- offset from the most stable computed form (meV per atom) = 10
- calculated volume (Å³ per atom) = 41.94

```
data_CsTl2In
_chemical_formula_sum 'Cs3 Tl6 In3'
_symmetry_space_group_name_H-M 'R -3 m'
_symmetry_Int_Tables_number 166
_symmetry_space_group_name_Hall '-R 3 2"'
_cell_length_a 5.1013
_cell_length_b 5.1013
_cell_length_c 22.3298
_cell_angle_alpha 90.00
_cell_angle_beta 90.00
_cell_angle_gamma 120.00
loop_
_atom_site_label
_atom_site_type_symbol
_atom_site_fract_x
_atom_site_fract_y
_atom_site_fract_z
Cs1 Cs 0.0000 0.0000 0.0000
Tl1 Tl 0.0000 0.0000 0.2154
In1 In 0.0000 0.0000 0.5000
```


Entry 5:
DFT (GGA-PBE) results for an optimized crystal structure of CsTlIn.

Computed properties:
- offset from the most stable computed form (meV per atom) = 77
- calculated volume (Å³ per atom) = 47.20

```
data_CsTlIn
_chemical_formula_sum 'Cs1 Tl1 In1'
_symmetry_space_group_name_H-M 'P -6 m 2'
_symmetry_Int_Tables_number 187
_symmetry_space_group_name_Hall 'P -6 2'
_cell_length_a 5.1615
_cell_length_b 5.1615
_cell_length_c 6.1380
_cell_angle_alpha 90.00
_cell_angle_beta 90.00
_cell_angle_gamma 120.00
loop_
_atom_site_label
_atom_site_type_symbol
_atom_site_fract_x
_atom_site_fract_y
_atom_site_fract_z
Cs1 Cs 0.0000 0.0000 0.0000
Tl1 Tl 0.6667 0.3333 0.5000
In1 In 0.3333 0.6667 0.5000
```


Entry 6:
DFT (GGA-PBE) results for an optimized crystal structure of Cs6Tl3In.

Computed properties:
- calculated volume (Å³ per atom) = 60.07
- calculated total energy (eV/atom) = -1.541

```
data_Cs6Tl3In
_chemical_formula_sum 'Cs18 Tl9 In3'
_symmetry_space_group_name_H-M 'R 3'
_symmetry_Int_Tables_number 146
_symmetry_space_group_name_Hall 'R 3'
_cell_length_a 11.7796
_cell_length_b 11.7796
_cell_length_c 14.9964
_cell_angle_alpha 90.00
_cell_angle_beta 90.00
_cell_angle_gamma 120.00
loop_
_atom_site_label
_atom_site_type_symbol
_atom_site_fract_x
_atom_site_fract_y
_atom_site_fract_z
Cs1 Cs 0.9999 0.3112 0.0000
Cs2 Cs 0.0009 0.6825 0.4991
Tl1 Tl 0.0000 0.0000 0.2080
Tl2 Tl 0.0000 0.0000 0.4014
Tl3 Tl 0.0000 0.0000 0.7943
In1 In 0.0000 0.0000 0.6041
```


Entry 7:
DFT (GGA-PBE) results for an optimized crystal structure of Cs2Tl2In.

Computed properties:
- offset from the most stable computed form (meV per atom) = 24
- calculated volume (Å³ per atom) = 46.66

```
data_Cs2Tl2In
_chemical_formula_sum 'Cs8 Tl8 In4'
_symmetry_space_group_name_H-M 'C 1 2/m 1'
_symmetry_Int_Tables_number 12
_cell_length_a 14.616
_cell_length_b 5.103
_cell_length_c 13.934
_cell_angle_alpha 90.00
_cell_angle_beta 116.12
_cell_angle_gamma 90.00
loop_
_symmetry_equiv_pos_as_xyz
'x,y,z'
'-x,-y,-z'
'-x,y,-z'
'x,-y,z'
'x+1/2,y+1/2,z'
'-x+1/2,-y+1/2,-z'
'-x+1/2,y+1/2,-z'
'x+1/2,-y+1/2,z'
loop_
_atom_site_label
_atom_site_type_symbol
_atom_site_fract_x
_atom_site_fract_y
_atom_site_fract_z
Cs1 Cs 0.023 0.000 0.161
Cs2 Cs 0.208 0.000 0.614
Tl1 Tl 0.004 0.500 0.391
Tl2 Tl 0.192 0.500 0.050
In1 In 0.185 0.500 0.828
```


Entry 8:
DFT (GGA-PBE) results for an optimized crystal structure of Cs3Tl3In8.

Computed properties:
- calculated volume (Å³ per atom) = 35.25
- calculated total energy (eV/atom) = -2.309

```
data_Cs3Tl3In8
_chemical_formula_sum 'Cs6 Tl6 In16'
_symmetry_space_group_name_H-M 'I m m m'
_symmetry_Int_Tables_number 71
_symmetry_space_group_name_Hall '-I 2 2'
_cell_length_a 5.244
_cell_length_b 12.053
_cell_length_c 15.617
_cell_angle_alpha 90.00
_cell_angle_beta 90.00
_cell_angle_gamma 90.00
loop_
_atom_site_label
_atom_site_type_symbol
_atom_site_fract_x
_atom_site_fract_y
_atom_site_fract_z
Cs1 Cs 0.000 0.000 0.000
Cs2 Cs 0.000 0.000 0.312
Tl1 Tl 0.000 0.204 0.500
Tl2 Tl 0.000 0.500 0.000
In1 In 0.000 0.267 0.148
In2 In 0.000 0.366 0.331
```


Entry 9:
DFT (GGA-PBE) results for an optimized crystal structure of Cs2Tl2In.

Computed properties:
- offset from the most stable computed form (meV per atom) = 380
- calculated volume (Å³ per atom) = 45.79

```
data_Cs2Tl2In
_chemical_formula_sum 'Cs4 Tl4 In2'
_symmetry_space_group_name_H-M 'I 4/m m m'
_symmetry_Int_Tables_number 139
_symmetry_space_group_name_Hall '-I 4 2'
_cell_length_a 5.200
_cell_length_b 5.200
_cell_length_c 16.937
_cell_angle_alpha 90.00
_cell_angle_beta 90.00
_cell_angle_gamma 90.00
loop_
_atom_site_label
_atom_site_type_symbol
_atom_site_fract_x
_atom_site_fract_y
_atom_site_fract_z
Cs1 Cs 0.000 0.500 0.250
Tl1 Tl 0.000 0.000 0.087
In1 In 0.000 0.000 0.500
```


Entry 10:
DFT (GGA-PBE) results for an optimized crystal structure of Cs3Tl8In3.

Computed properties:
- calculated volume (Å³ per atom) = 36.90
- calculated total energy (eV/atom) = -2.175

```
data_Cs3Tl8In3
_chemical_formula_sum 'Cs6 Tl16 In6'
_symmetry_space_group_name_H-M 'I m m m'
_symmetry_Int_Tables_number 71
_symmetry_space_group_name_Hall '-I 2 2'
_cell_length_a 5.401
_cell_length_b 12.709
_cell_length_c 15.054
_cell_angle_alpha 90.00
_cell_angle_beta 90.00
_cell_angle_gamma 90.00
loop_
_atom_site_label
_atom_site_type_symbol
_atom_site_fract_x
_atom_site_fract_y
_atom_site_fract_z
Cs1 Cs 0.000 0.000 0.000
Cs2 Cs 0.000 0.000 0.280
Tl1 Tl 0.000 0.294 0.128
Tl2 Tl 0.000 0.337 0.343
In1 In 0.000 0.156 0.500
In2 In 0.000 0.500 0.000
```


Entry 11:
DFT (GGA-PBE) results for an optimized crystal structure of Cs2Tl2In3.

Computed properties:
- calculated volume (Å³ per atom) = 37.81
- calculated total energy (eV/atom) = -2.146

```
data_Cs2Tl2In3
_chemical_formula_sum 'Cs4 Tl4 In6'
_symmetry_space_group_name_H-M 'C 1 2/m 1'
_symmetry_Int_Tables_number 12
_cell_length_a 14.025
_cell_length_b 5.387
_cell_length_c 8.306
_cell_angle_alpha 90.00
_cell_angle_beta 122.50
_cell_angle_gamma 90.00
loop_
_symmetry_equiv_pos_as_xyz
'x,y,z'
'-x,-y,-z'
'-x,y,-z'
'x,-y,z'
'x+1/2,y+1/2,z'
'-x+1/2,-y+1/2,-z'
'-x+1/2,y+1/2,-z'
'x+1/2,-y+1/2,z'
loop_
_atom_site_label
_atom_site_type_symbol
_atom_site_fract_x
_atom_site_fract_y
_atom_site_fract_z
Cs1 Cs 0.162 0.000 0.300
Tl1 Tl 0.148 0.000 0.786
In1 In 0.000 0.500 0.500
In2 In 0.084 0.500 0.922
```


Entry 12:
DFT (GGA-PBE) results for an optimized crystal structure of CsTl8In2.

Computed properties:
- offset from the most stable computed form (meV per atom) = 107
- calculated volume (Å³ per atom) = 43.68

```
data_CsTl8In2
_chemical_formula_sum 'Cs1 Tl8 In2'
_symmetry_space_group_name_H-M 'P 4/m m m'
_symmetry_Int_Tables_number 123
_symmetry_space_group_name_Hall '-P 4 2'
_cell_length_a 6.531
_cell_length_b 6.531
_cell_length_c 11.263
_cell_angle_alpha 90.00
_cell_angle_beta 90.00
_cell_angle_gamma 90.00
loop_
_atom_site_label
_atom_site_type_symbol
_atom_site_fract_x
_atom_site_fract_y
_atom_site_fract_z
Cs1 Cs 0.000 0.000 0.000
Tl1 Tl 0.251 0.251 0.301
In1 In 0.000 0.500 0.500
```